# LuSbO4

A PBEsol-optimized structure of LuSbO4 (SCAN, the Alexandria database).

```
data_LuSbO4
_cell_length_a 7.483
_cell_length_b 5.232
_cell_length_c 7.386
_cell_angle_alpha 90.00
_cell_angle_beta 97.86
_cell_angle_gamma 90.00
_symmetry_space_group_name_H-M 'P 1 21/c 1'
_symmetry_Int_Tables_number 14
loop_
_symmetry_equiv_pos_as_xyz
'x,y,z'
'-x,-y,-z'
'-x,y+1/2,-z+1/2'
'x,-y+1/2,z+1/2'
loop_
_atom_site_label
_atom_site_fract_x
_atom_site_fract_y
_atom_site_fract_z
Lu1 0.143 0.227 0.384
Sb1 0.336 0.731 0.189
O1 0.108 0.522 0.174
O2 0.176 0.018 0.114
O3 0.328 0.605 0.934
O4 0.427 0.098 0.814
```

Properties
E: -534.39 eV/cell
crystal system: monoclinic
spin magnetization: 0.000 μB/atom
formation energy from raw total energies: -2.678 eV/atom